VASP calculation (PBE) on a relaxed Pm15Sm4Ho crystal.

The structure in POSCAR format:
```
Pm15Sm4Ho
1.0
5.150 0.000 0.000
0.000 5.150 0.000
0.000 0.000 25.707
Pm Sm Ho
15 4 1
Cartesian
2.575 2.575 0.000
2.575 2.575 5.115
2.575 2.575 10.277
2.575 2.575 15.430
2.575 2.575 20.592
2.575 0.000 2.543
2.575 0.000 7.697
2.575 0.000 12.853
2.575 0.000 18.010
2.575 0.000 23.164
0.000 2.575 2.543
0.000 2.575 7.697
0.000 2.575 12.853
0.000 2.575 18.010
0.000 2.575 23.164
0.000 0.000 5.119
0.000 0.000 10.275
0.000 0.000 15.432
0.000 0.000 20.588
0.000 0.000 0.000
```

E_form: 15 meV/atom
Density: 7.16 g/cm3